# 1
6
Lattice="-2.703 -4.845 0.430 5.411 0.054 -1.301 -0.078 2.154 5.730" Properties=species:S:1:pos:R:3 comment="NaMgAl | Alexandria via LeMat-Bulk | GGA-PBE | relaxed" formation_energy_kj_per_mol_fu=24 e_above_lowest_polymorph_mev_per_atom=0 dft_energy_ev_per_atom=-2.14 sg="No. 69" pbc="T T T"
Na 0.034 -3.193 -0.154
Na 2.674 -1.598 -0.717
Mg 2.213 -2.558 3.130
Mg 0.416 -0.079 1.729
Al -0.714 -2.543 2.862
Al 3.343 -0.094 1.997

# 2
5
Lattice="-3.104 2.551 3.379 2.655 -2.091 4.018 3.299 4.084 -0.054" Properties=species:S:1:pos:R:3 comment="ZrBr3F | Alexandria via LeMat-Bulk | GGA-PBE | relaxed" e_above_lowest_polymorph_mev_per_atom=0 dft_energy_ev_per_atom=-4.12 sg="No. 221" e_form_raw_ev_per_atom=-1.031 pbc="T T T"
Br 1.328 -1.046 2.009
Br 1.649 2.042 -0.027
Br -1.552 1.276 1.690
Zr 0.000 0.000 0.000
F 1.425 2.272 3.672

It is found that the total magnetization values, taken in the order of the records, are 0.00, 0.27 μB per cell.